Entry 1:
The following is a PBE calculation of an optimized crystal structure of Na2MgAlAu6, from Alexandria.

Calculated values
N(E_F) = 1.679 states/eV/cell
final energy = -28.09 eV per cell
energy of formation from the pure elements = -0.046 eV per atom
crystal system = cubic
magnetic moment = 0.00 μB/atom

POSCAR file:
```
Na2MgAlAu6
1.0
0.000 5.016 5.016
5.016 0.000 5.016
5.016 5.016 0.000
Na Mg Al Au
2 1 1 6
direct
0.250 0.250 0.250
0.750 0.750 0.750
0.000 0.000 0.000
0.500 0.500 0.500
0.255 0.255 0.745
0.255 0.745 0.255
0.255 0.745 0.745
0.745 0.255 0.255
0.745 0.255 0.745
0.745 0.745 0.255
```



Entry 2:
The following is a PBE calculation of an optimized crystal structure of NdMgAl2Au4, from Alexandria.

Calculated values
N(E_F) = 4.199 states/eV/cell
final energy = -31.79 eV per cell
energy of formation from the pure elements = -0.604 eV per atom
crystal system = trigonal
magnetic moment = 0.00 μB/atom

POSCAR file:
```
NdMgAl2Au4
1.0
2.250 1.299 8.928
-2.250 1.299 8.928
0.000 -2.598 8.928
Nd Mg Al Au
1 1 2 4
direct
0.000 0.000 0.000
0.500 0.500 0.500
0.241 0.241 0.241
0.759 0.759 0.759
0.132 0.132 0.132
0.397 0.397 0.397
0.603 0.603 0.603
0.868 0.868 0.868
```



Entry 3:
The following is a PBE calculation of an optimized crystal structure of Nd2MgAl4Au3, from Alexandria.

Calculated values
N(E_F) = 6.496 states/eV/cell
final energy = -42.41 eV per cell
energy of formation from the pure elements = -0.648 eV per atom
crystal system = tetragonal
magnetic moment = 0.00 μB/atom

POSCAR file:
```
Nd2MgAl4Au3
1.0
4.342 0.000 0.000
0.000 4.342 0.000
0.000 0.000 11.119
Nd Mg Al Au
2 1 4 3
direct
0.000 0.500 0.245
0.500 0.000 0.755
0.000 0.000 0.500
0.000 0.000 0.000
0.000 0.500 0.646
0.500 0.000 0.354
0.500 0.500 0.000
0.000 0.500 0.872
0.500 0.000 0.128
0.500 0.500 0.500
```



Entry 4:
The following is a PBE calculation of an optimized crystal structure of NdMgAl2Au5, from Alexandria.

Calculated values
N(E_F) = 3.423 states/eV/cell
final energy = -34.16 eV per cell
energy of formation from the pure elements = -0.436 eV per atom
crystal system = tetragonal
magnetic moment = 0.00 μB/atom

POSCAR file:
```
NdMgAl2Au5
1.0
4.840 0.000 0.000
0.000 4.840 0.000
0.000 0.000 7.991
Nd Mg Al Au
1 1 2 5
direct
0.000 0.000 0.000
0.000 0.000 0.500
0.500 0.500 0.340
0.500 0.500 0.660
0.000 0.500 0.246
0.000 0.500 0.754
0.500 0.000 0.246
0.500 0.000 0.754
0.500 0.500 0.000
```



Entry 5:
The following is a PBE calculation of an optimized crystal structure of NdMgAlAu2, from Alexandria.

Calculated values
N(E_F) = 3.035 states/eV/cell
final energy = -19.97 eV per cell
energy of formation from the pure elements = -0.662 eV per atom
crystal system = tetragonal
magnetic moment = 0.00 μB/atom

POSCAR file:
```
NdMgAlAu2
1.0
-2.117 2.117 6.067
2.117 -2.117 6.067
2.117 2.117 -6.067
Nd Mg Al Au
1 1 1 2
direct
0.000 0.000 0.000
0.750 0.250 0.500
0.250 0.750 0.500
0.385 0.385 0.000
0.615 0.615 0.000
```



Entry 6:
The following is a PBE calculation of an optimized crystal structure of NdMgAlAu, from Alexandria.

Calculated values
N(E_F) = 1.576 states/eV/cell
final energy = -15.34 eV per cell
energy of formation from the pure elements = -0.490 eV per atom
crystal system = cubic
magnetic moment = 0.00 μB/atom

POSCAR file:
```
NdMgAlAu
1.0
0.000 3.544 3.544
3.544 0.000 3.544
3.544 3.544 0.000
Nd Mg Al Au
1 1 1 1
direct
0.000 0.000 0.000
0.500 0.500 0.500
0.250 0.250 0.250
0.750 0.750 0.750
```



Entry 7:
The following is a PBE calculation of an optimized crystal structure of NdMg2AlAu2, from Alexandria.

Calculated values
N(E_F) = 2.803 states/eV/cell
final energy = -20.05 eV per cell
energy of formation from the pure elements = -0.299 eV per atom
crystal system = tetragonal
magnetic moment = 0.00 μB/atom

POSCAR file:
```
NdMg2AlAu2
1.0
-2.606 2.606 5.549
2.606 -2.606 5.549
2.606 2.606 -5.549
Nd Mg Al Au
1 2 1 2
direct
0.000 0.000 0.000
0.250 0.750 0.500
0.750 0.250 0.500
0.500 0.500 0.000
0.280 0.280 0.000
0.720 0.720 0.000
```



Entry 8:
The following is a PBE calculation of an optimized crystal structure of MgAlNiAu, from Alexandria.

Calculated values
N(E_F) = 2.175 states/eV/cell
final energy = -16.08 eV per cell
energy of formation from the pure elements = -0.421 eV per atom
crystal system = cubic
magnetic moment = 0.00 μB/atom

POSCAR file:
```
MgAlNiAu
1.0
0.000 3.111 3.111
3.111 0.000 3.111
3.111 3.111 0.000
Mg Al Ni Au
1 1 1 1
direct
0.000 0.000 0.000
0.500 0.500 0.500
0.750 0.750 0.750
0.250 0.250 0.250
```



Entry 9:
The following is a PBE calculation of an optimized crystal structure of MgAl2NiAu, from Alexandria.

Calculated values
N(E_F) = 3.065 states/eV/cell
final energy = -13.36 eV per cell
energy of formation from the pure elements = 0.956 eV per atom
crystal system = tetragonal
magnetic moment = 0.00 μB/atom

POSCAR file:
```
MgAl2NiAu
1.0
4.948 0.000 0.000
0.000 4.948 0.000
0.000 0.000 4.381
Mg Al Ni Au
1 2 1 1
direct
0.000 0.000 0.000
0.000 0.500 0.000
0.500 0.000 0.000
0.000 0.000 0.500
0.500 0.500 0.500
```



Entry 10:
The following is a PBE calculation of an optimized crystal structure of Mg2NpAlAu4, from Alexandria.

Calculated values
N(E_F) = 14.605 states/eV/cell
final energy = -35.78 eV per cell
energy of formation from the pure elements = -0.350 eV per atom
crystal system = trigonal
magnetic moment = 0.53 μB/atom

POSCAR file:
```
Mg2NpAlAu4
1.0
2.285 1.319 8.707
-2.285 1.319 8.707
0.000 -2.638 8.707
Mg Np Al Au
2 1 1 4
direct
0.241 0.241 0.241
0.759 0.759 0.759
0.000 0.000 0.000
0.500 0.500 0.500
0.131 0.131 0.131
0.394 0.394 0.394
0.606 0.606 0.606
0.869 0.869 0.869
```



Entry 11:
The following is a PBE calculation of an optimized crystal structure of MgAlOs2Au, from Alexandria.

Calculated values
N(E_F) = 3.436 states/eV/cell
final energy = -22.27 eV per cell
energy of formation from the pure elements = 1.761 eV per atom
crystal system = tetragonal
magnetic moment = 0.36 μB/atom

POSCAR file:
```
MgAlOs2Au
1.0
4.574 0.000 0.000
0.000 4.574 0.000
0.000 0.000 4.532
Mg Al Os Au
1 1 2 1
direct
0.000 0.000 0.000
0.500 0.500 0.500
0.000 0.500 0.000
0.500 0.000 0.000
0.000 0.000 0.500
```



Entry 12:
The following is a PBE calculation of an optimized crystal structure of MgPaAlAu, from Alexandria.

Calculated values
N(E_F) = 4.725 states/eV/cell
final energy = -18.97 eV per cell
energy of formation from the pure elements = -0.216 eV per atom
crystal system = cubic
magnetic moment = 0.10 μB/atom

POSCAR file:
```
MgPaAlAu
1.0
0.000 3.492 3.492
3.492 0.000 3.492
3.492 3.492 0.000
Mg Pa Al Au
1 1 1 1
direct
0.000 0.000 0.000
0.500 0.500 0.500
0.250 0.250 0.250
0.750 0.750 0.750
```



Entry 13:
The following is a PBE calculation of an optimized crystal structure of MgAl2Pb2Au7, from Alexandria.

Calculated values
N(E_F) = 3.112 states/eV/cell
final energy = -42.35 eV per cell
energy of formation from the pure elements = -0.243 eV per atom
crystal system = monoclinic
magnetic moment = 0.00 μB/atom

POSCAR file:
```
MgAl2Pb2Au7
1.0
3.100 -2.944 0.000
3.100 2.944 0.000
-2.151 0.000 13.672
Mg Al Pb Au
1 2 2 7
direct
0.000 0.000 0.000
0.418 0.418 0.746
0.582 0.582 0.254
0.093 0.093 0.356
0.907 0.907 0.644
0.048 0.547 0.148
0.346 0.346 0.564
0.453 0.952 0.852
0.500 0.500 0.000
0.547 0.048 0.148
0.654 0.654 0.436
0.952 0.453 0.852
```



Entry 14:
The following is a PBE calculation of an optimized crystal structure of Mg2Al2Pd5Au, from Alexandria.

Calculated values
N(E_F) = 6.040 states/eV/cell
final energy = -91.69 eV per cell
energy of formation from the pure elements = -0.593 eV per atom
crystal system = tetragonal
magnetic moment = 0.00 μB/atom

POSCAR file:
```
Mg2Al2Pd5Au
1.0
9.500 0.000 0.000
0.000 9.500 0.000
0.000 0.000 3.695
Mg Al Pd Au
4 4 10 2
direct
0.173 0.327 0.000
0.327 0.827 0.000
0.673 0.173 0.000
0.827 0.673 0.000
0.126 0.626 0.000
0.374 0.126 0.000
0.626 0.874 0.000
0.874 0.374 0.000
0.000 0.500 0.500
0.077 0.795 0.500
0.205 0.077 0.500
0.295 0.577 0.500
0.423 0.295 0.500
0.500 0.000 0.500
0.577 0.705 0.500
0.705 0.423 0.500
0.795 0.923 0.500
0.923 0.205 0.500
0.000 0.000 0.000
0.500 0.500 0.000
```



Entry 15:
The following is a PBE calculation of an optimized crystal structure of MgAlPdAu, from Alexandria.

Calculated values
N(E_F) = 0.855 states/eV/cell
final energy = -16.44 eV per cell
energy of formation from the pure elements = -0.659 eV per atom
crystal system = orthorhombic
magnetic moment = 0.00 μB/atom

POSCAR file:
```
MgAlPdAu
1.0
3.265 0.000 0.000
0.000 4.426 0.000
0.000 0.000 4.453
Mg Al Pd Au
1 1 1 1
direct
0.000 0.000 0.000
0.000 0.500 0.500
0.500 0.000 0.500
0.500 0.500 0.000
```



Entry 16:
The following is a PBE calculation of an optimized crystal structure of PmMg2AlAu4, from Alexandria.

Calculated values
N(E_F) = 3.402 states/eV/cell
final energy = -29.72 eV per cell
energy of formation from the pure elements = -0.616 eV per atom
crystal system = trigonal
magnetic moment = 0.00 μB/atom

POSCAR file:
```
PmMg2AlAu4
1.0
2.292 1.323 8.745
-2.292 1.323 8.745
0.000 -2.646 8.745
Pm Mg Al Au
1 2 1 4
direct
0.000 0.000 0.000
0.241 0.241 0.241
0.759 0.759 0.759
0.500 0.500 0.500
0.132 0.132 0.132
0.396 0.396 0.396
0.604 0.604 0.604
0.868 0.868 0.868
```



Entry 17:
The following is a PBE calculation of an optimized crystal structure of PmMg2AlAu2, from Alexandria.

Calculated values
N(E_F) = 2.710 states/eV/cell
final energy = -19.97 eV per cell
energy of formation from the pure elements = -0.288 eV per atom
crystal system = tetragonal
magnetic moment = 0.00 μB/atom

POSCAR file:
```
PmMg2AlAu2
1.0
-2.609 2.609 5.514
2.609 -2.609 5.514
2.609 2.609 -5.514
Pm Mg Al Au
1 2 1 2
direct
0.000 0.000 0.000
0.250 0.750 0.500
0.750 0.250 0.500
0.500 0.500 0.000
0.278 0.278 0.000
0.722 0.722 0.000
```



Entry 18:
The following is a PBE calculation of an optimized crystal structure of PmMgAl2Au5, from Alexandria.

Calculated values
N(E_F) = 3.038 states/eV/cell
final energy = -34.16 eV per cell
energy of formation from the pure elements = -0.438 eV per atom
crystal system = tetragonal
magnetic moment = 0.00 μB/atom

POSCAR file:
```
PmMgAl2Au5
1.0
4.819 0.000 0.000
0.000 4.819 0.000
0.000 0.000 8.011
Pm Mg Al Au
1 1 2 5
direct
0.000 0.000 0.000
0.000 0.000 0.500
0.500 0.500 0.341
0.500 0.500 0.659
0.000 0.500 0.243
0.000 0.500 0.757
0.500 0.000 0.243
0.500 0.000 0.757
0.500 0.500 0.000
```



Entry 19:
The following is a PBE calculation of an optimized crystal structure of PmMg2Al2Au, from Alexandria.

Calculated values
N(E_F) = 4.521 states/eV/cell
final energy = -17.86 eV per cell
energy of formation from the pure elements = 0.141 eV per atom
crystal system = tetragonal
magnetic moment = 0.00 μB/atom

POSCAR file:
```
PmMg2Al2Au
1.0
-2.633 2.633 5.576
2.633 -2.633 5.576
2.633 2.633 -5.576
Pm Mg Al Au
1 2 2 1
direct
0.000 0.000 0.000
0.250 0.750 0.500
0.750 0.250 0.500
0.283 0.283 0.000
0.717 0.717 0.000
0.500 0.500 0.000
```



Entry 20:
The following is a PBE calculation of an optimized crystal structure of PmMgAl2Au2, from Alexandria.

Calculated values
N(E_F) = 2.416 states/eV/cell
final energy = -24.25 eV per cell
energy of formation from the pure elements = -0.645 eV per atom
crystal system = trigonal
magnetic moment = 0.00 μB/atom

POSCAR file:
```
PmMgAl2Au2
1.0
4.465 0.000 0.000
-2.232 3.867 0.000
0.000 0.000 7.104
Pm Mg Al Au
1 1 2 2
direct
0.000 0.000 0.000
0.000 0.000 0.500
0.333 0.667 0.705
0.667 0.333 0.295
0.333 0.667 0.291
0.667 0.333 0.709
```